--- 1 ---
## TiRh2Br (GGA-PBE)

Data for a relaxed structure of TiRh2Br.

abc: 6.3735 6.3735 6.3735
angles: 90.00 90.00 90.00
With the nearest neighbours (Å) after each atom.
Space group Fm-3m (No. 225)
Asymmetric unit:
Ti: 0.0000 0.0000 0.0000  8 Rh 2.76
Rh: 0.2500 0.2500 0.2500  4 Br 2.76, 4 Ti 2.76
Br: 0.0000 0.0000 0.5000  8 Rh 2.76


--- 2 ---
## TiRh2Br (GGA-PBE)

Data for a relaxed structure of TiRh2Br.

abc: 5.6284 5.6284 11.2662
angles: 90.00 90.00 90.00
With the nearest neighbours (Å) after each atom.
Space group I-42d (No. 122)
Asymmetric unit:
Ti: 0.0000 0.0000 0.0000  4 Rh 2.36
Rh: 0.2264 0.2500 0.1250  2 Ti 2.36, 2 Br 2.52
Br: 0.0000 0.0000 0.5000  4 Rh 2.52


The structure with the greatest stability is 1.


--- 1 ---
## Ti2RhBr (GGA-PBE)

Data for a relaxed structure of Ti2RhBr.

abc: 6.4012 6.4012 6.4012
angles: 90.00 90.00 90.00
With the nearest neighbours (Å) after each atom.
Space group Fm-3m (No. 225)
Asymmetric unit:
Ti: 0.2500 0.2500 0.2500  4 Br 2.77, 4 Rh 2.77
Rh: 0.0000 0.0000 0.0000  8 Ti 2.77
Br: 0.0000 0.0000 0.5000  8 Ti 2.77


--- 2 ---
## Ti2RhBr (GGA-PBE)

Data for a relaxed structure of Ti2RhBr.

abc: 6.7868 6.7868 6.3550
angles: 90.00 90.00 90.00
With the nearest neighbours (Å) after each atom.
Space group I-42d (No. 122)
Asymmetric unit:
Ti: 0.2410 0.7500 0.1250  2 Rh 2.49, 2 Br 2.57
Rh: 0.0000 0.0000 0.0000  4 Ti 2.49
Br: 0.0000 0.0000 0.5000  4 Ti 2.57


The structure with the greatest stability is 1.


--- 1 ---
## Tl3RhBr6 (GGA-PBE)

Data for a relaxed structure of Tl3RhBr6.

abc: 7.3943 8.2548 13.0091
angles: 90.00 122.64 90.00
With the nearest neighbours (Å) after each atom.
Space group P2_1/c (No. 14)
Asymmetric unit:
Tl: 0.0000 0.0000 0.0000  6 Br 3.23-3.28
Tl: 0.2136 0.0750 0.7466  7 Br 3.32-3.70
Rh: 0.5000 0.0000 0.5000  6 Br 2.52-2.53
Br: 0.1802 0.1591 0.4647  1 Rh 2.52
Br: 0.2821 0.7410 0.4387  1 Rh 2.53
Br: 0.3875 0.0453 0.2818  1 Rh 2.52


--- 2 ---
## Tl3RhBr6 (GGA-PBE)

Data for a relaxed structure of Tl3RhBr6.

abc: 9.4110 11.4577 13.3062
angles: 90.00 90.00 90.00
With the nearest neighbours (Å) after each atom.
Space group Fmmm (No. 69)
Asymmetric unit:
Tl: 0.0000 0.0000 0.0000  6 Br 3.18-3.42
Tl: 0.2500 0.2500 0.2500  4 Br 3.32
Rh: 0.0000 0.0000 0.5000  6 Br 2.50-2.54
Br: 0.0000 0.2221 0.5000  1 Rh 2.54
Br: 0.1885 0.0000 0.3677  1 Rh 2.50


The structure with the greatest stability is 1.